Compound: Mg2Sc2Cd
Source: Alexandria
Functional: PBE
Structure: relaxed

a = 7.4994 Å, b = 7.4994 Å, c = 4.1459 Å
α = 90.00°, β = 90.00°, γ = 90.00°
Atoms (fractional coordinates):
Mg: 0.6369 0.1369 0.0000
Sc: 0.3380 0.1620 0.5000
Mg: 0.8631 0.6369 0.0000
Sc: 0.8380 0.3380 0.5000
Cd: 0.0000 0.0000 0.0000
Mg: 0.1369 0.3631 0.0000
Sc: 0.1620 0.6620 0.5000
Mg: 0.3631 0.8631 0.0000
Sc: 0.6620 0.8380 0.5000
Cd: 0.5000 0.5000 0.0000

Summary:
The density of states at the Fermi level comes out at 10.087 states/eV per cell. For the theoretical density, the calculation gives 3.6 Mg/m³. Its volume is 23.317 Å³ per atom. Its symmetry is No. 127. As for the polymorph energy (0 for the lowest one): 10.3 kJ per mole of atoms.

Compound: Tb4Pr5Sc3
Source: Alexandria
Functional: PBE
Structure: relaxed

a = 5.8196 Å, b = 16.6735 Å, c = 9.5113 Å
α = 141.63°, β = 72.19°, γ = 79.95°
Atoms (fractional coordinates):
Tb: 0.7608 0.9524 0.5261
Pr: 0.1991 0.2248 0.3770
Tb: 0.2392 0.0476 0.4739
Tb: 0.9600 0.9592 0.1209
Tb: 0.0400 0.0408 0.8791
Pr: 0.5000 0.5000 0.5000
Sc: 0.3979 0.3084 0.8958
Pr: 0.3477 0.4737 0.8309
Pr: 0.6523 0.5263 0.1691
Sc: 0.0000 0.5000 0.5000
Pr: 0.8009 0.7752 0.6230
Sc: 0.6021 0.6916 0.1042

Summary:
The density of states at the Fermi level comes out at 18.107 states/eV per cell. For the theoretical density, the calculation gives 6.3 Mg/m³. Its volume is 32.399 Å³ per atom. Its symmetry is No. 12. For the total DFT energy (no corrections), the calculation gives -59.09 eV for the cell shown.

Compound: SrFe2Br6Cl2
Source: Alexandria
Functional: PBE
Structure: relaxed

a = 7.1086 Å, b = 7.1086 Å, c = 10.0567 Å
α = 90.00°, β = 90.00°, γ = 120.00°
Atoms (fractional coordinates):
Fe: 0.3333 0.6667 0.7404
Sr: 0.0000 0.0000 0.0000
Br: 0.3584 0.0088 0.1799
Br: 0.3496 0.3584 0.8201
Br: 0.6504 0.6416 0.1799
Cl: 0.3333 0.6667 0.5275
Br: 0.9912 0.3496 0.1799
Cl: 0.6667 0.3333 0.4725
Fe: 0.6667 0.3333 0.2596
Br: 0.6416 0.9912 0.8201
Br: 0.0088 0.6504 0.8201

Summary:
The formation energy without anion corrections comes out at -974.9 meV/atom. For the theoretical density, the calculation gives 2.8 Mg/m³. Its volume is 40.010 Å³ per atom. Its symmetry is No. 147.

Compound: RbPuBeF6
Source: Alexandria
Functional: PBE
Structure: relaxed

a = 5.5765 Å, b = 5.5765 Å, c = 5.9337 Å
α = 90.00°, β = 90.00°, γ = 59.99°
Atoms (fractional coordinates):
F: 0.5909 0.0639 0.3238
F: 0.0638 0.5909 0.6762
Rb: 0.9999 0.0000 0.0000
F: 0.5908 0.3453 0.6763
F: 0.0639 0.3452 0.3237
F: 0.3452 0.0639 0.6763
Be: 0.3333 0.3334 0.5000
Pu: 0.6666 0.6667 0.5000
F: 0.3453 0.5909 0.3237

Summary:
The formation energy without anion corrections comes out at -3156.8 meV/atom. The density of states at the Fermi level comes out at 6.321 states/eV per cell. For the theoretical density, the calculation gives 4.7 Mg/m³. Its volume is 17.754 Å³ per atom. Its symmetry is No. 149.

Compound: BeSbTe
Source: Alexandria
Functional: PBE
Structure: relaxed

a = 4.0098 Å, b = 6.6824 Å, c = 7.6357 Å
α = 101.46°, β = 105.22°, γ = 90.24°
Atoms (fractional coordinates):
Be: 0.8216 0.3561 0.8265
Te: 0.9086 0.6952 0.9930
Te: 0.5385 0.2805 0.2572
Be: 0.4118 0.4733 0.0028
Sb: 0.1695 0.4770 0.5168
Sb: 0.2683 0.1537 0.7223

Summary:
The formation energy without anion corrections comes out at 34.0 meV/atom. The density of states at the Fermi level comes out at 0.304 states/eV per cell. For the theoretical density, the calculation gives 4.4 Mg/m³. Its volume is 32.191 Å³ per atom. Its symmetry is No. 1. As for the polymorph energy (0 for the lowest one): 10.0 kJ per mole of atoms.

Compound: Cr2RhN
Source: Alexandria
Functional: PBE
Structure: relaxed

a = 6.1310 Å, b = 6.1310 Å, c = 4.9606 Å
α = 51.83°, β = 51.83°, γ = 90.00°
Atoms (fractional coordinates):
Cr: 0.5237 0.1250 0.2500
Cr: 0.3750 0.4763 0.7500
N: 0.2500 0.7500 0.5000
Cr: 0.2263 0.6250 0.2500
Rh: 0.0000 0.0000 0.0000
Cr: 0.8750 0.7737 0.7500
N: 0.5000 0.5000 0.0000
Rh: 0.7500 0.2500 0.5000

Summary:
The formation energy without anion corrections comes out at 11.6 meV/atom. The density of states at the Fermi level comes out at 10.894 states/eV per cell. For the theoretical density, the calculation gives 8.1 Mg/m³. Its volume is 11.329 Å³ per atom. Its symmetry is No. 122.

Compound: Nb2AlMo
Source: Alexandria
Functional: PBE
Structure: relaxed

a = 3.3279 Å, b = 3.3279 Å, c = 6.1485 Å
α = 90.00°, β = 90.00°, γ = 90.00°
Atoms (fractional coordinates):
Nb: 0.0000 0.0000 0.7569
Nb: 0.0000 0.0000 0.2431
Al: 0.5000 0.5000 0.5000
Mo: 0.5000 0.5000 0.0000

Summary:
The density of states at the Fermi level comes out at 3.314 states/eV per cell. For the theoretical density, the calculation gives 7.5 Mg/m³. Its volume is 17.024 Å³ per atom. Its symmetry is No. 123. For the total DFT energy (no corrections), the calculation gives -35.40 eV for the cell shown.